1.
LiPuThRe after structural relaxation. Source: the Alexandria database, functional PBE.

Structure (CIF):
```
data_LiPuThRe
_cell_length_a 7.0423
_cell_length_b 7.0423
_cell_length_c 7.0423
_cell_angle_alpha 90.00
_cell_angle_beta 90.00
_cell_angle_gamma 90.00
_space_group_name_H-M_alt 'F -4 3 m'
_space_group_IT_number 216
_space_group_name_Hall 'F -4 2 3'
loop_
_atom_site_label
_atom_site_fract_x
_atom_site_fract_y
_atom_site_fract_z
Li1 0.0000 0.0000 0.0000
Pu1 0.2500 0.2500 0.7500
Th1 0.2500 0.2500 0.2500
Re1 0.0000 0.0000 0.5000
```

Results
Crystal system ... cubic
DFT formation energy ... 15 kJ/mol of atoms



2.
InAsAu after structural relaxation. Source: the Alexandria database, functional PBE.

Structure (CIF):
```
data_InAsAu
_cell_length_a 4.4683
_cell_length_b 4.4814
_cell_length_c 12.8893
_cell_angle_alpha 90.00
_cell_angle_beta 90.00
_cell_angle_gamma 90.00
_space_group_name_H-M_alt 'F m m 2'
_space_group_IT_number 42
_space_group_name_Hall 'F 2 -2'
loop_
_atom_site_label
_atom_site_fract_x
_atom_site_fract_y
_atom_site_fract_z
In1 0.0000 0.0000 0.0000
As1 0.0000 0.0000 0.6964
Au1 0.0000 0.0000 0.3306
```

Results
Crystal system ... orthorhombic
DFT formation energy ... 14 kJ/mol of atoms



3.
Li3UCr2Te6 after structural relaxation. Source: the Alexandria database, functional PBE.

Structure (CIF):
```
data_Li3UCr2Te6
_cell_length_a 7.0999
_cell_length_b 12.2672
_cell_length_c 7.3616
_cell_angle_alpha 90.00
_cell_angle_beta 108.60
_cell_angle_gamma 90.00
_space_group_name_H-M_alt 'C 1 2/m 1'
_space_group_IT_number 12
_space_group_name_Hall '-C 2y'
loop_
_atom_site_label
_atom_site_fract_x
_atom_site_fract_y
_atom_site_fract_z
Li1 0.0000 0.0000 0.0000
Li2 0.0000 0.3419 0.0000
U1 0.0000 0.5000 0.5000
Cr1 0.0000 0.1675 0.5000
Te1 0.2211 0.0000 0.7386
Te2 0.2416 0.1789 0.2605
```

Results
Crystal system ... monoclinic
Raw formation energy ... -0.594 eV/atom



no.,Fermi-level density of states (states/eV/atom),uncorrected energy (eV for the cell shown)
1,2.2238,-141.90
2,0.5281,-40.89
3,0.3906,-124.50